VASP calculation (PBE-GGA) on a geometry-optimized Tb3CeHo2P6 structure.

**Total magnetic moment**: 0.02 μB per atom
**Space-group type**: C2/m, No. 12
**Energy of formation from the pure elements**: -1.6009 eV/atom

Cell lengths 6.9609, 6.9609, 6.9681 Å; angles 99.59, 99.59, 119.99 degrees
With the nearest neighbours (Å) after each atom.
Element x y z (fractional)
1 Tb 0.1666 0.8334 0.5000  6 P 2.85
2 Tb 0.8334 0.1666 0.5000  6 P 2.85
3 Tb 0.5000 0.5000 0.5000  6 P 2.85
4 Ce 0.0000 0.0000 0.0000  6 P 2.83-2.84
5 Ho 0.3334 0.6666 0.0000  6 P 2.83-2.84
6 Ho 0.6666 0.3334 0.0000  6 P 2.83-2.84
7 P 0.9173 0.5836 0.7516  2 Ho 2.84, 1 Ce 2.84, 3 Tb 2.85
8 P 0.7488 0.7488 0.2473  2 Ho 2.83, 1 Ce 2.83, 3 Tb 2.85
9 P 0.0827 0.4164 0.2484  2 Ho 2.84, 1 Ce 2.84, 3 Tb 2.85
10 P 0.5836 0.9173 0.7516  2 Ho 2.84, 1 Ce 2.84, 3 Tb 2.85
11 P 0.2512 0.2512 0.7527  2 Ho 2.83, 1 Ce 2.83, 3 Tb 2.85
12 P 0.4164 0.0827 0.2484  2 Ho 2.84, 1 Ce 2.84, 3 Tb 2.85

---

VASP calculation (PBE-GGA) on a geometry-optimized TePdCl3 structure.

**Energy above the lowest structure with this stoichiometry**: 0.3700 eV per atom
**E_form (uncorrected)**: 0.049 eV per atom
**Total magnetic moment**: 0.00 μB per atom
**Space-group type**: Pm-3m, No. 221

Cell lengths 4.8902, 4.8902, 4.8902 Å; angles 90.00, 90.00, 90.00 degrees
With the nearest neighbours (Å) after each atom.
Element x y z (fractional)
1 Te 0.5000 0.5000 0.5000  12 Cl 3.46
2 Pd 0.0000 0.0000 0.0000  6 Cl 2.45
3 Cl 0.0000 0.5000 0.0000  2 Pd 2.45
4 Cl 0.0000 0.0000 0.5000  2 Pd 2.45
5 Cl 0.5000 0.0000 0.0000  2 Pd 2.45

---

VASP calculation (PBE-GGA) on a geometry-optimized NaDySi2Au5 structure.

**E_form (uncorrected)**: -0.317 eV per atom
**Total magnetic moment**: 0.00 μB per atom
**Space-group type**: P4/mmm, No. 123

Cell lengths 4.7262, 4.7262, 9.6701 Å; angles 90.00, 90.00, 90.00 degrees
With the nearest neighbours (Å) after each atom.
Element x y z (fractional)
1 Na 0.0000 0.0000 0.5000  4 Au 3.34
2 Dy 0.0000 0.0000 0.0000  8 Au 2.97
3 Si 0.5000 0.5000 0.2520  5 Au 2.40-2.45
4 Si 0.5000 0.5000 0.7480  5 Au 2.40-2.45
5 Au 0.0000 0.5000 0.1858  2 Si 2.45
6 Au 0.5000 0.0000 0.1858  2 Si 2.45
7 Au 0.0000 0.5000 0.8142  2 Si 2.45
8 Au 0.5000 0.0000 0.8142  2 Si 2.45
9 Au 0.5000 0.5000 0.5000  2 Si 2.40

---

VASP calculation (PBE-GGA) on a geometry-optimized NbHg3Se structure.

**Energy above the lowest structure with this stoichiometry**: 0.2103 eV per atom
**E_form (uncorrected)**: 1.129 eV per atom
**Total magnetic moment**: 0.83 μB per atom
**Space-group type**: Pm-3m, No. 221

Cell lengths 5.3661, 5.3661, 5.3661 Å; angles 90.00, 90.00, 90.00 degrees
With the nearest neighbours (Å) after each atom.
Element x y z (fractional)
1 Nb 0.5000 0.5000 0.5000  12 Hg 3.79
2 Hg 0.0000 0.5000 0.0000  2 Se 2.68
3 Hg 0.0000 0.0000 0.5000  2 Se 2.68
4 Hg 0.5000 0.0000 0.0000  2 Se 2.68
5 Se 0.0000 0.0000 0.0000  6 Hg 2.68

---

VASP calculation (PBE-GGA) on a geometry-optimized Rb3TbCe3Te8 structure.

**E_form (uncorrected)**: -1.336 eV per atom
**Total magnetic moment**: 0.13 μB per atom
**Space-group type**: R-3m, No. 166

Cell lengths 9.1580, 9.1547, 10.1618 Å; angles 116.76, 90.00, 120.01 degrees
With the nearest neighbours (Å) after each atom.
Element x y z (fractional)
1 Rb 0.0000 0.0000 0.0000  6 Te 3.69-3.72
2 Rb 0.0000 0.5000 0.0000  6 Te 3.69-3.72
3 Rb 0.5000 0.5000 0.0000  6 Te 3.69-3.72
4 Tb 0.0000 0.0000 0.5000  6 Te 3.13-3.14
5 Ce 0.5000 0.0000 0.5000  6 Te 3.16-3.18
6 Ce 0.5000 0.5000 0.5000  6 Te 3.16-3.18
7 Ce 0.0000 0.5000 0.5000  6 Te 3.16-3.18
8 Te 0.2656 0.5312 0.2967  3 Ce 3.18
9 Te 0.7344 0.4688 0.7033  3 Ce 3.18
10 Te 0.7687 0.5373 0.3020  1 Tb 3.13, 2 Ce 3.16
11 Te 0.2313 0.4627 0.6980  1 Tb 3.13, 2 Ce 3.16
12 Te 0.7686 0.0334 0.3020  1 Tb 3.14, 2 Ce 3.16
13 Te 0.2314 0.9666 0.6980  1 Tb 3.14, 2 Ce 3.16
14 Te 0.2648 0.0334 0.3021  1 Tb 3.14, 2 Ce 3.16
15 Te 0.7352 0.9666 0.6979  1 Tb 3.14, 2 Ce 3.16

---

VASP calculation (PBE-GGA) on a geometry-optimized Y8GeSe4S3 structure.

**E_form (uncorrected)**: -1.793 eV per atom
**Total magnetic moment**: 0.00 μB per atom
**Space-group type**: R-3m, No. 166

Cell lengths 8.0295, 8.1423, 8.0295 Å; angles 119.54, 120.00, 90.00 degrees
With the nearest neighbours (Å) after each atom.
Element x y z (fractional)
1 Y 0.2443 0.7297 0.9855  2 S 2.78, 1 Ge 2.79, 3 Se 2.93-2.95
2 Y 0.2443 0.7297 0.4886  2 S 2.78, 1 Ge 2.79, 3 Se 2.93-2.95
3 Y 0.2587 0.2760 0.5174  3 S 2.76, 3 Se 2.96
4 Y 0.7411 0.7297 0.9855  2 S 2.78, 1 Ge 2.79, 3 Se 2.93-2.95
5 Y 0.2589 0.2703 0.0145  2 S 2.78, 1 Ge 2.79, 3 Se 2.93-2.95
6 Y 0.7413 0.7240 0.4826  3 S 2.76, 3 Se 2.96
7 Y 0.7557 0.2703 0.5114  2 S 2.78, 1 Ge 2.79, 3 Se 2.93-2.95
8 Y 0.7557 0.2703 0.0145  2 S 2.78, 1 Ge 2.79, 3 Se 2.93-2.95
9 Ge 0.0000 0.5000 0.0000  6 Y 2.79
10 Se 0.5000 0.0000 0.0000  6 Y 2.93
11 Se 0.5000 0.0000 0.5000  6 Y 2.95-2.96
12 Se 0.0000 0.0000 0.0000  6 Y 2.95-2.96
13 Se 0.0000 0.0000 0.5000  6 Y 2.95-2.96
14 S 0.5000 0.5000 0.0000  6 Y 2.76-2.78
15 S 0.5000 0.5000 0.5000  6 Y 2.76-2.78
16 S 0.0000 0.5000 0.5000  6 Y 2.76-2.78

---

What is the formula in the fourth record?
NbHg3Se